Material: BaPbW2
Method: DFT, PBE
State: optimized geometry

```
BaPbW2
1.0
-6.0027 8.5750 -1.7275
-8.1921 6.7407 0.0337
-5.9329 8.6430 1.6267
Pb Ba W
1 1 2
Direct
0.7364 0.7364 0.7364 Pb
0.5063 0.5063 0.5063 Ba
0.9883 0.9883 0.9883 W
0.2690 0.2690 0.2690 W
```

**Symmetry**: No. 160
**DFT formation energy**: 0.794 eV/atom
**DOS(E_F)**: 4.67 states/eV/cell